<i>
Here is Pm3Nd3Tl2 after structural relaxation from Alexandria via LeMat-Bulk. Energies are from PBE.

Structure (CIF):
```
data_Pm3Nd3Tl2
_cell_length_a 5.411
_cell_length_b 12.441
_cell_length_c 15.770
_cell_angle_alpha 90.00
_cell_angle_beta 90.00
_cell_angle_gamma 90.00
_space_group_name_H-M_alt 'C m c m'
_space_group_IT_number 63
_space_group_name_Hall '-C 2c 2'
loop_
_atom_site_label
_atom_site_fract_x
_atom_site_fract_y
_atom_site_fract_z
Pm1 0.000 0.040 0.107
Pm2 0.000 0.270 0.250
Nd1 0.000 0.363 0.027
Nd2 0.000 0.448 0.750
Tl1 0.000 0.215 0.640
```

## Properties
total magnetization = 0.0 μB/f.u.



<ii>
Here is Pm3Nd3Tl2 after structural relaxation from Alexandria via LeMat-Bulk. Energies are from PBE.

Structure (CIF):
```
data_Pm3Nd3Tl2
_cell_length_a 4.969
_cell_length_b 4.978
_cell_length_c 9.991
_cell_angle_alpha 90.00
_cell_angle_beta 90.00
_cell_angle_gamma 90.00
_space_group_name_H-M_alt 'P m m m'
_space_group_IT_number 47
_space_group_name_Hall '-P 2 2'
loop_
_atom_site_label
_atom_site_fract_x
_atom_site_fract_y
_atom_site_fract_z
Pm1 0.000 0.000 0.000
Pm2 0.000 0.500 0.250
Nd1 0.000 0.000 0.500
Nd2 0.500 0.500 0.000
Nd3 0.500 0.500 0.500
Tl1 0.500 0.000 0.249
```

## Properties
total magnetization = 0.8 μB/f.u.



<ii> takes first place; second place is 96 meV/atom up.



<i>
Here is Pm4NdTl after structural relaxation from Alexandria via LeMat-Bulk. Energies are from PBE.

Structure (CIF):
```
data_Pm4NdTl
_cell_length_a 6.629
_cell_length_b 6.820
_cell_length_c 8.931
_cell_angle_alpha 90.00
_cell_angle_beta 100.88
_cell_angle_gamma 90.00
_space_group_name_H-M_alt 'P 1 21/m 1'
_space_group_IT_number 11
_space_group_name_Hall '-P 2yb'
loop_
_atom_site_label
_atom_site_fract_x
_atom_site_fract_y
_atom_site_fract_z
Pm1 0.080 0.250 0.332
Pm2 0.177 0.250 0.938
Pm3 0.419 0.502 0.674
Nd1 0.307 0.750 0.004
Tl1 0.149 0.750 0.371
```

## Properties
total magnetization = 0.0 μB/f.u.



<ii>
Here is Pm4NdTl after structural relaxation from Alexandria via LeMat-Bulk. Energies are from PBE.

Structure (CIF):
```
data_Pm4NdTl
_cell_length_a 3.684
_cell_length_b 3.684
_cell_length_c 14.608
_cell_angle_alpha 90.00
_cell_angle_beta 90.00
_cell_angle_gamma 90.00
_space_group_name_H-M_alt 'P 4/m m m'
_space_group_IT_number 123
_space_group_name_Hall '-P 4 2'
loop_
_atom_site_label
_atom_site_fract_x
_atom_site_fract_y
_atom_site_fract_z
Pm1 0.000 0.000 0.147
Pm2 0.500 0.500 0.322
Nd1 0.000 0.000 0.500
Tl1 0.500 0.500 0.000
```

## Properties
total magnetization = 0.0 μB/f.u.



<ii> takes first place; second place is 50 meV/atom up.



<i>
Here is Pm6NdTl after structural relaxation from Alexandria via LeMat-Bulk. Energies are from PBE.

Structure (CIF):
```
data_Pm6NdTl
_cell_length_a 7.047
_cell_length_b 12.674
_cell_length_c 6.862
_cell_angle_alpha 90.00
_cell_angle_beta 117.11
_cell_angle_gamma 90.00
_space_group_name_H-M_alt 'C 1 2/m 1'
_space_group_IT_number 12
_space_group_name_Hall '-C 2y'
loop_
_atom_site_label
_atom_site_fract_x
_atom_site_fract_y
_atom_site_fract_z
Pm1 0.015 0.000 0.256
Pm2 0.023 0.275 0.749
Nd1 0.000 0.500 0.000
Tl1 0.000 0.500 0.500
```

## Properties
total magnetization = 1.0 μB/f.u.



<ii>
Here is Pm6NdTl after structural relaxation from Alexandria via LeMat-Bulk. Energies are from PBE.

Structure (CIF):
```
data_Pm6NdTl
_cell_length_a 5.014
_cell_length_b 5.014
_cell_length_c 10.393
_cell_angle_alpha 90.00
_cell_angle_beta 90.00
_cell_angle_gamma 90.00
_space_group_name_H-M_alt 'P 4/m m m'
_space_group_IT_number 123
_space_group_name_Hall '-P 4 2'
loop_
_atom_site_label
_atom_site_fract_x
_atom_site_fract_y
_atom_site_fract_z
Pm1 0.000 0.000 0.000
Pm2 0.000 0.000 0.500
Pm3 0.000 0.500 0.242
Nd1 0.500 0.500 0.500
Tl1 0.500 0.500 0.000
```

## Properties
total magnetization = 0.0 μB/f.u.



<ii> takes first place; second place is 282 meV/atom up.



<i>
Here is Pm6NdTl5 after structural relaxation from Alexandria via LeMat-Bulk. Energies are from PBE.

Structure (CIF):
```
data_Pm6NdTl5
_cell_length_a 5.117
_cell_length_b 9.037
_cell_length_c 15.535
_cell_angle_alpha 90.00
_cell_angle_beta 90.00
_cell_angle_gamma 90.00
_space_group_name_H-M_alt 'I m m m'
_space_group_IT_number 71
_space_group_name_Hall '-I 2 2'
loop_
_atom_site_label
_atom_site_fract_x
_atom_site_fract_y
_atom_site_fract_z
Pm1 0.000 0.228 0.000
Pm2 0.000 0.263 0.329
Nd1 0.000 0.000 0.500
Tl1 0.000 0.000 0.177
Tl2 0.000 0.500 0.151
Tl3 0.000 0.500 0.500
```

## Properties
total magnetization = 0.0 μB/f.u.



<ii>
Here is Pm6NdTl5 after structural relaxation from Alexandria via LeMat-Bulk. Energies are from PBE.

Structure (CIF):
```
data_Pm6NdTl5
_cell_length_a 6.301
_cell_length_b 11.066
_cell_length_c 10.919
_cell_angle_alpha 90.00
_cell_angle_beta 101.57
_cell_angle_gamma 90.00
_space_group_name_H-M_alt 'C 1 2/m 1'
_space_group_IT_number 12
_space_group_name_Hall '-C 2y'
loop_
_atom_site_label
_atom_site_fract_x
_atom_site_fract_y
_atom_site_fract_z
Pm1 0.225 0.000 0.251
Pm2 0.234 0.179 0.739
Nd1 0.000 0.500 0.000
Tl1 0.000 0.000 0.500
Tl2 0.000 0.172 0.000
Tl3 0.000 0.344 0.500
```

## Properties
total magnetization = 0.0 μB/f.u.



<i> takes first place; second place is 126 meV/atom up.